No. 1
# Ba2TlH6Pd (PBE, optimized geometry)
# Volume, Å³ per atom: 17.873
# Total DFT energy (no corrections), eV per atom: -3.428
data_Ba2TlH6Pd
_symmetry_space_group_name_H-M 'P -3 m 1'
_symmetry_Int_Tables_number 164
_symmetry_space_group_name_Hall '-P 3 2"'
_cell_length_a 5.4244
_cell_length_b 5.4244
_cell_length_c 7.0141
_cell_angle_alpha 90.00
_cell_angle_beta 90.00
_cell_angle_gamma 120.00
loop_
_atom_site_label
_atom_site_type_symbol
_atom_site_fract_x
_atom_site_fract_y
_atom_site_fract_z
Ba1 Ba 0.3333 0.6667 0.2867
Tl1 Tl 0.0000 0.0000 0.0000
H1 H 0.1502 0.3004 0.6393
Pd1 Pd 0.0000 0.0000 0.5000

No. 2
# CaLa2Tb6 (PBE, optimized geometry)
# Volume, Å³ per atom: 33.925
# Total DFT energy (no corrections), eV per atom: -4.362
# Calculated formation energy, kcal/mol of atoms: 0.970
data_CaLa2Tb6
_symmetry_space_group_name_H-M 'P -1'
_symmetry_Int_Tables_number 2
_symmetry_space_group_name_Hall '-P 1'
_cell_length_a 7.2994
_cell_length_b 9.0799
_cell_length_c 9.6455
_cell_angle_alpha 103.29
_cell_angle_beta 100.74
_cell_angle_gamma 90.01
loop_
_atom_site_label
_atom_site_type_symbol
_atom_site_fract_x
_atom_site_fract_y
_atom_site_fract_z
Ca1 Ca 0.2120 0.3361 0.3571
La1 La 0.3775 0.3354 0.0162
La2 La 0.4206 0.9933 0.1656
Tb1 Tb 0.0423 0.3269 0.6870
Tb2 Tb 0.0848 0.0020 0.8339
Tb3 Tb 0.1219 0.6656 0.9834
Tb4 Tb 0.2483 0.9917 0.5032
Tb5 Tb 0.2827 0.6701 0.6492
Tb6 Tb 0.4512 0.6720 0.3168

No. 3
# ZrCo2Pt (PBE, optimized geometry)
# Volume, Å³ per atom: 15.106
# Total DFT energy (no corrections), eV per atom: -7.018
# Calculated formation energy, kcal/mol of atoms: 4.209
data_ZrCo2Pt
_symmetry_space_group_name_H-M 'R -3 m'
_symmetry_Int_Tables_number 166
_symmetry_space_group_name_Hall '-R 3 2"'
_cell_length_a 2.7794
_cell_length_b 2.7794
_cell_length_c 27.0960
_cell_angle_alpha 90.00
_cell_angle_beta 90.00
_cell_angle_gamma 120.00
loop_
_atom_site_label
_atom_site_type_symbol
_atom_site_fract_x
_atom_site_fract_y
_atom_site_fract_z
Zr1 Zr 0.0000 0.0000 0.0000
Co1 Co 0.0000 0.0000 0.2452
Pt1 Pt 0.0000 0.0000 0.5000

No. 4
# BeRe2Pb (PBE, optimized geometry)
# Volume, Å³ per atom: 16.135
# Total DFT energy (no corrections), eV per atom: -7.358
# Calculated formation energy, kcal/mol of atoms: 16.722
data_BeRe2Pb
_symmetry_space_group_name_H-M 'R -3 m'
_symmetry_Int_Tables_number 166
_symmetry_space_group_name_Hall '-R 3 2"'
_cell_length_a 3.2492
_cell_length_b 3.2492
_cell_length_c 21.1765
_cell_angle_alpha 90.00
_cell_angle_beta 90.00
_cell_angle_gamma 120.00
loop_
_atom_site_label
_atom_site_type_symbol
_atom_site_fract_x
_atom_site_fract_y
_atom_site_fract_z
Be1 Be 0.0000 0.0000 0.0000
Re1 Re 0.0000 0.0000 0.2798
Pb1 Pb 0.0000 0.0000 0.5000

No. 5
# Hf2ScNb (PBE, optimized geometry)
# Volume, Å³ per atom: 21.706
# Total DFT energy (no corrections), eV per atom: -8.917
# Calculated formation energy, kcal/mol of atoms: 3.681
data_Hf2ScNb
_symmetry_space_group_name_H-M 'R -3 m'
_symmetry_Int_Tables_number 166
_symmetry_space_group_name_Hall '-R 3 2"'
_cell_length_a 3.1357
_cell_length_b 3.1357
_cell_length_c 30.5898
_cell_angle_alpha 90.00
_cell_angle_beta 90.00
_cell_angle_gamma 120.00
loop_
_atom_site_label
_atom_site_type_symbol
_atom_site_fract_x
_atom_site_fract_y
_atom_site_fract_z
Hf1 Hf 0.0000 0.0000 0.2459
Sc1 Sc 0.0000 0.0000 0.0000
Nb1 Nb 0.0000 0.0000 0.5000

No. 6
# NaAl2Br4 (PBE, optimized geometry)
# Formation energy from raw total energies, meV/atom: -662.1
# Volume, Å³ per atom: 32.559
# Total DFT energy (no corrections), eV per atom: -2.876
data_NaAl2Br4
_symmetry_space_group_name_H-M 'I 4/m m m'
_symmetry_Int_Tables_number 139
_symmetry_space_group_name_Hall '-I 4 2'
_cell_length_a 5.8065
_cell_length_b 5.8065
_cell_length_c 13.5198
_cell_angle_alpha 90.00
_cell_angle_beta 90.00
_cell_angle_gamma 90.00
loop_
_atom_site_label
_atom_site_type_symbol
_atom_site_fract_x
_atom_site_fract_y
_atom_site_fract_z
Na1 Na 0.0000 0.0000 0.0000
Al1 Al 0.0000 0.0000 0.4040
Br1 Br 0.0000 0.0000 0.2299
Br2 Br 0.0000 0.5000 0.0000

No. 7
# Ac4InSnN (PBE, optimized geometry)
# Formation energy from raw total energies, meV/atom: -668.0
# Volume, Å³ per atom: 34.391
# Total DFT energy (no corrections), eV per atom: -5.168
data_Ac4InSnN
_symmetry_space_group_name_H-M 'C m c m'
_symmetry_Int_Tables_number 63
_symmetry_space_group_name_Hall '-C 2c 2'
_cell_length_a 7.3076
_cell_length_b 17.9937
_cell_length_c 7.3232
_cell_angle_alpha 90.00
_cell_angle_beta 90.00
_cell_angle_gamma 90.00
loop_
_atom_site_label
_atom_site_type_symbol
_atom_site_fract_x
_atom_site_fract_y
_atom_site_fract_z
Ac1 Ac 0.0000 0.0723 0.2500
Ac2 Ac 0.0000 0.4161 0.2500
Ac3 Ac 0.2500 0.2500 0.0000
In1 In 0.0000 0.3874 0.7500
Sn1 Sn 0.0000 0.1125 0.7500
N1 N 0.0000 0.2745 0.2500

No. 8
# MnTlRh2 (PBE, optimized geometry)
# Volume, Å³ per atom: 16.333
# Total DFT energy (no corrections), eV per atom: -6.444
# Calculated formation energy, kcal/mol of atoms: 2.668
data_MnTlRh2
_symmetry_space_group_name_H-M 'C 1 2/m 1'
_symmetry_Int_Tables_number 12
_symmetry_space_group_name_Hall '-C 2y'
_cell_length_a 8.8226
_cell_length_b 2.9975
_cell_length_c 5.0563
_cell_angle_alpha 90.00
_cell_angle_beta 102.27
_cell_angle_gamma 90.00
loop_
_atom_site_label
_atom_site_type_symbol
_atom_site_fract_x
_atom_site_fract_y
_atom_site_fract_z
Mn1 Mn 0.0000 0.0000 0.0000
Tl1 Tl 0.0000 0.5000 0.5000
Rh1 Rh 0.2427 0.5000 0.2265

Question: Look up the volume of the second one.
Answer: 33.925 Å³ per atom